YTaV4 (PBE, relaxed); formation enthalpy at 0 K = 139 kJ/mol of formula units; density = 7.92 g/cm3
1.0
0.000 3.676 3.676
3.676 0.000 3.676
3.676 3.676 0.000
Y Ta V
1 1 4
Cartesian
0.000 0.000 0.000
5.514 5.514 5.514
2.758 2.758 2.758
4.594 4.594 2.758
4.594 2.758 4.594
2.758 4.594 4.594